No. 1
# Te4IrSe, optimized geometry, DFT PBE
# V ... 26.89 Å³/atom
# Crystal system ... cubic
# Total magnetization ... 1.54 μB/f.u.
data_Te4IrSe
_symmetry_space_group_name_H-M 'F -4 3 m'
_symmetry_Int_Tables_number 216
_symmetry_space_group_name_Hall 'F -4 2 3'
_cell_length_a 8.6412
_cell_length_b 8.6412
_cell_length_c 8.6412
_cell_angle_alpha 90.00
_cell_angle_beta 90.00
_cell_angle_gamma 90.00
loop_
_atom_site_label
_atom_site_fract_x
_atom_site_fract_y
_atom_site_fract_z
Te1 0.1248 0.1248 0.1248
Ir1 0.2500 0.2500 0.7500
Se1 0.0000 0.0000 0.5000

No. 2
# TeIrSe2, optimized geometry, DFT PBE
# V ... 25.18 Å³/atom
# Crystal system ... orthorhombic
# Total magnetization ... 0.00 μB/f.u.
data_TeIrSe2
_symmetry_space_group_name_H-M 'C m c m'
_symmetry_Int_Tables_number 63
_symmetry_space_group_name_Hall '-C 2c 2'
_cell_length_a 3.6444
_cell_length_b 13.8380
_cell_length_c 7.9887
_cell_angle_alpha 90.00
_cell_angle_beta 90.00
_cell_angle_gamma 90.00
loop_
_atom_site_label
_atom_site_fract_x
_atom_site_fract_y
_atom_site_fract_z
Te1 0.0000 0.1066 0.2500
Ir1 0.0000 0.2531 0.7500
Se1 0.0000 0.3407 0.0871

No. 3
# TeIrSe2, optimized geometry, DFT PBE
# V ... 24.93 Å³/atom
# Crystal system ... tetragonal
# Total magnetization ... 0.00 μB/f.u.
data_TeIrSe2
_symmetry_space_group_name_H-M 'I -4 2 d'
_symmetry_Int_Tables_number 122
_symmetry_space_group_name_Hall 'I -4 2bw'
_cell_length_a 6.9320
_cell_length_b 6.9320
_cell_length_c 8.3010
_cell_angle_alpha 90.00
_cell_angle_beta 90.00
_cell_angle_gamma 90.00
loop_
_atom_site_label
_atom_site_fract_x
_atom_site_fract_y
_atom_site_fract_z
Te1 0.0000 0.0000 0.0000
Ir1 0.0000 0.0000 0.5000
Se1 0.1876 0.2500 0.6250

No. 4
# TeIrSe2, optimized geometry, DFT PBE
# V ... 24.52 Å³/atom
# Crystal system ... trigonal
# Total magnetization ... 0.00 μB/f.u.
data_TeIrSe2
_symmetry_space_group_name_H-M 'R -3 m'
_symmetry_Int_Tables_number 166
_symmetry_space_group_name_Hall '-R 3 2"'
_cell_length_a 2.9630
_cell_length_b 2.9630
_cell_length_c 38.6963
_cell_angle_alpha 90.00
_cell_angle_beta 90.00
_cell_angle_gamma 120.00
loop_
_atom_site_label
_atom_site_fract_x
_atom_site_fract_y
_atom_site_fract_z
Te1 0.0000 0.0000 0.0000
Ir1 0.0000 0.0000 0.5000
Se1 0.0000 0.0000 0.4382

No. 5
# Te2IrSe2, optimized geometry, DFT PBE
# V ... 28.74 Å³/atom
# Crystal system ... monoclinic
# Total magnetization ... 0.00 μB/f.u.
data_Te2IrSe2
_symmetry_space_group_name_H-M 'C 1 2/m 1'
_symmetry_Int_Tables_number 12
_symmetry_space_group_name_Hall '-C 2y'
_cell_length_a 10.4438
_cell_length_b 3.9685
_cell_length_c 6.9365
_cell_angle_alpha 90.00
_cell_angle_beta 91.32
_cell_angle_gamma 90.00
loop_
_atom_site_label
_atom_site_fract_x
_atom_site_fract_y
_atom_site_fract_z
Te1 0.0982 0.0000 0.2172
Ir1 0.0000 0.5000 0.0000
Se1 0.1572 0.5000 0.7364

No. 6
# TeIrSe2, optimized geometry, DFT PBE
# V ... 23.24 Å³/atom
# Crystal system ... triclinic
# Total magnetization ... 0.00 μB/f.u.
data_TeIrSe2
_symmetry_space_group_name_H-M 'P 1'
_symmetry_Int_Tables_number 1
_symmetry_space_group_name_Hall 'P 1'
_cell_length_a 5.4651
_cell_length_b 5.7299
_cell_length_c 6.2286
_cell_angle_alpha 96.27
_cell_angle_beta 103.68
_cell_angle_gamma 97.41
loop_
_atom_site_label
_atom_site_fract_x
_atom_site_fract_y
_atom_site_fract_z
Te1 0.0000 0.0000 0.0000
Te2 0.4818 0.4253 0.9508
Ir1 0.0494 0.2111 0.6448
Ir2 0.5053 0.9288 0.0130
Se1 0.1186 0.3919 0.3096
Se2 0.3137 0.8890 0.6077
Se3 0.6654 0.9344 0.4109
Se4 0.7889 0.5158 0.6906

No. 7
# Te4IrSe, optimized geometry, DFT PBE
# V ... 27.70 Å³/atom
# Crystal system ... monoclinic
# Total magnetization ... 0.00 μB/f.u.
data_Te4IrSe
_symmetry_space_group_name_H-M 'P 1 21/c 1'
_symmetry_Int_Tables_number 14
_symmetry_space_group_name_Hall '-P 2ybc'
_cell_length_a 7.8128
_cell_length_b 6.5008
_cell_length_c 6.7012
_cell_angle_alpha 90.00
_cell_angle_beta 102.43
_cell_angle_gamma 90.00
loop_
_atom_site_label
_atom_site_fract_x
_atom_site_fract_y
_atom_site_fract_z
Te1 0.0965 0.1298 0.1602
Te2 0.3387 0.6233 0.0993
Ir1 0.0000 0.0000 0.5000
Se1 0.5000 0.0000 0.0000

No. 8
# TeIrSe2, optimized geometry, DFT PBE
# V ... 22.02 Å³/atom
# Crystal system ... tetragonal
# Total magnetization ... 0.00 μB/f.u.
data_TeIrSe2
_symmetry_space_group_name_H-M 'P 4 m m'
_symmetry_Int_Tables_number 99
_symmetry_space_group_name_Hall 'P 4 -2'
_cell_length_a 3.0608
_cell_length_b 3.0608
_cell_length_c 9.4033
_cell_angle_alpha 90.00
_cell_angle_beta 90.00
_cell_angle_gamma 90.00
loop_
_atom_site_label
_atom_site_fract_x
_atom_site_fract_y
_atom_site_fract_z
Te1 0.0000 0.0000 0.0000
Ir1 0.5000 0.5000 0.2180
Se1 0.0000 0.0000 0.3717
Se2 0.5000 0.5000 0.6847

No. 9
# TeIrSe2, optimized geometry, DFT PBE
# V ... 22.73 Å³/atom
# Crystal system ... trigonal
# Total magnetization ... 0.00 μB/f.u.
data_TeIrSe2
_symmetry_space_group_name_H-M 'R 3 m'
_symmetry_Int_Tables_number 160
_symmetry_space_group_name_Hall 'R 3 -2"'
_cell_length_a 3.7614
_cell_length_b 3.7614
_cell_length_c 22.2649
_cell_angle_alpha 90.00
_cell_angle_beta 90.00
_cell_angle_gamma 120.00
loop_
_atom_site_label
_atom_site_fract_x
_atom_site_fract_y
_atom_site_fract_z
Te1 0.0000 0.0000 0.0000
Ir1 0.0000 0.0000 0.2592
Se1 0.0000 0.0000 0.5375
Se2 0.0000 0.0000 0.7553

No. 10
# TeIrSe2, optimized geometry, DFT PBE
# V ... 23.75 Å³/atom
# Crystal system ... tetragonal
# Total magnetization ... 0.00 μB/f.u.
data_TeIrSe2
_symmetry_space_group_name_H-M 'P 4/m m m'
_symmetry_Int_Tables_number 123
_symmetry_space_group_name_Hall '-P 4 2'
_cell_length_a 3.0882
_cell_length_b 3.0882
_cell_length_c 9.9625
_cell_angle_alpha 90.00
_cell_angle_beta 90.00
_cell_angle_gamma 90.00
loop_
_atom_site_label
_atom_site_fract_x
_atom_site_fract_y
_atom_site_fract_z
Te1 0.0000 0.0000 0.0000
Ir1 0.0000 0.0000 0.5000
Se1 0.5000 0.5000 0.3448

No. 11
# TeIrSe2, optimized geometry, DFT PBE
# V ... 25.56 Å³/atom
# Crystal system ... trigonal
# Total magnetization ... 0.00 μB/f.u.
data_TeIrSe2
_symmetry_space_group_name_H-M 'P 3 m 1'
_symmetry_Int_Tables_number 156
_symmetry_space_group_name_Hall 'P 3 -2"'
_cell_length_a 3.8679
_cell_length_b 3.8679
_cell_length_c 7.8918
_cell_angle_alpha 90.00
_cell_angle_beta 90.00
_cell_angle_gamma 120.00
loop_
_atom_site_label
_atom_site_fract_x
_atom_site_fract_y
_atom_site_fract_z
Te1 0.0000 0.0000 0.0000
Ir1 0.3333 0.6667 0.8158
Se1 0.6667 0.3333 0.3707
Se2 0.6667 0.3333 0.6635

No. 12
# TeIrSe2, optimized geometry, DFT PBE
# V ... 25.06 Å³/atom
# Crystal system ... trigonal
# Total magnetization ... 0.00 μB/f.u.
data_TeIrSe2
_symmetry_space_group_name_H-M 'R -3 m'
_symmetry_Int_Tables_number 166
_symmetry_space_group_name_Hall '-R 3 2"'
_cell_length_a 3.7728
_cell_length_b 3.7728
_cell_length_c 24.3984
_cell_angle_alpha 90.00
_cell_angle_beta 90.00
_cell_angle_gamma 120.00
loop_
_atom_site_label
_atom_site_fract_x
_atom_site_fract_y
_atom_site_fract_z
Te1 0.0000 0.0000 0.0000
Ir1 0.0000 0.0000 0.5000
Se1 0.0000 0.0000 0.1157

Number 1: formation energy (no corrections) 1.214 eV per atom. Number 2: formation energy (no corrections) 0.062 eV per atom. Number 3: formation energy (no corrections) 0.211 eV per atom. Number 4: formation energy (no corrections) 0.325 eV per atom. Number 5: formation energy (no corrections) -0.102 eV per atom. Number 6: formation energy (no corrections) -0.077 eV per atom. Number 7: formation energy (no corrections) -0.025 eV per atom. Number 8: formation energy (no corrections) 0.352 eV per atom. Number 9: formation energy (no corrections) 0.049 eV per atom. Number 10: formation energy (no corrections) 0.253 eV per atom. Number 11: formation energy (no corrections) -0.029 eV per atom. Number 12: formation energy (no corrections) -0.122 eV per atom.